# 1
Density functional theory data (PBE-GGA) for CeSmDy2Hg4 after structural relaxation.

Unit cell a=5.3332 b=5.3332 c=9.2384 alpha=73.22 beta=73.22 gamma=60.00
Positions (direct):
Hg 0.8761 0.8761 0.3716
Hg 0.6259 0.6259 0.1222
Hg 0.1239 0.1239 0.6284
Hg 0.3741 0.3741 0.8778
Dy 0.7508 0.7508 0.7477
Dy 0.2492 0.2492 0.2523
Sm 0.0000 0.0000 0.0000
Ce 0.5000 0.5000 0.5000

## Properties
Calculated formation energy in meV/atom: -421
Space group: R-3m, No. 166
Energy in eV/atom: -3.054
Total magnetization in μB per formula unit: 2.1

# 2
Density functional theory data (PBE-GGA) for Ce2SmDyHg4 after structural relaxation.

Unit cell a=5.3690 b=5.3690 c=9.2990 alpha=73.22 beta=73.22 gamma=60.00
Positions (direct):
Ce 0.2505 0.2505 0.2485
Ce 0.7495 0.7495 0.7515
Dy 0.5000 0.5000 0.5000
Hg 0.1264 0.1264 0.6207
Hg 0.6235 0.6235 0.1295
Hg 0.3765 0.3765 0.8705
Hg 0.8736 0.8736 0.3793
Sm 0.0000 0.0000 0.0000

## Properties
Calculated formation energy in meV/atom: -373
Space group: R-3m, No. 166
Energy in eV/atom: -3.172
Total magnetization in μB per formula unit: 3.5